Record 1
! SrAg2, relaxed, DFT PBE; values from VASP
&SYSTEM
  ibrav = 0, nat = 9, ntyp = 2
/
ATOMIC_SPECIES
Sr 87.62 Sr.upf
Ag 107.87 Ag.upf
ATOMIC_POSITIONS crystal
Sr 0.000 0.000 0.000
Sr 0.333 0.667 0.500
Sr 0.667 0.333 0.500
Ag 0.000 0.221 0.500
Ag 0.000 0.419 0.000
Ag 0.221 0.000 0.500
Ag 0.419 0.000 0.000
Ag 0.581 0.581 0.000
Ag 0.779 0.779 0.500
CELL_PARAMETERS angstrom
7.780 0.000 0.000
-3.890 6.738 0.000
0.000 0.000 5.161
! Formation energy in eV per atom: -0.079

Record 2
! SrAg, relaxed, DFT PBE; values from VASP
&SYSTEM
  ibrav = 0, nat = 8, ntyp = 2
/
ATOMIC_SPECIES
Sr 87.62 Sr.upf
Ag 107.87 Ag.upf
ATOMIC_POSITIONS crystal
Sr 0.059 0.691 0.059
Sr 0.309 0.941 0.309
Sr 0.691 0.059 0.691
Sr 0.941 0.309 0.941
Ag 0.290 0.290 0.460
Ag 0.460 0.460 0.290
Ag 0.540 0.540 0.710
Ag 0.710 0.710 0.540
CELL_PARAMETERS angstrom
0.000 4.812 8.047
3.326 0.000 8.047
3.326 4.812 0.000
! Formation energy in eV per atom: -0.060

Record 3
! SrAg3, relaxed, DFT PBE; values from VASP
&SYSTEM
  ibrav = 0, nat = 12, ntyp = 2
/
ATOMIC_SPECIES
Sr 87.62 Sr.upf
Ag 107.87 Ag.upf
ATOMIC_POSITIONS crystal
Sr 0.000 0.000 0.000
Sr 0.141 0.141 0.423
Sr 0.859 0.859 0.577
Ag 0.082 0.583 0.247
Ag 0.332 0.332 0.998
Ag 0.417 0.918 0.753
Ag 0.418 0.418 0.754
Ag 0.500 0.500 0.500
Ag 0.582 0.582 0.246
Ag 0.583 0.082 0.247
Ag 0.668 0.668 0.002
Ag 0.918 0.417 0.753
CELL_PARAMETERS angstrom
5.099 -2.906 0.000
5.099 2.906 0.000
-3.405 0.000 9.520
! Formation energy in eV per atom: -0.209

Record 4
! Sr3Ag, relaxed, DFT PBE; values from VASP
&SYSTEM
  ibrav = 0, nat = 16, ntyp = 2
/
ATOMIC_SPECIES
Sr 87.62 Sr.upf
Ag 107.87 Ag.upf
ATOMIC_POSITIONS crystal
Sr 0.000 0.125 0.250
Sr 0.000 0.875 0.750
Sr 0.191 0.376 0.250
Sr 0.191 0.624 0.750
Sr 0.309 0.124 0.750
Sr 0.309 0.876 0.250
Sr 0.500 0.375 0.750
Sr 0.500 0.625 0.250
Sr 0.691 0.124 0.750
Sr 0.691 0.876 0.250
Sr 0.809 0.376 0.250
Sr 0.809 0.624 0.750
Ag 0.000 0.435 0.750
Ag 0.000 0.565 0.250
Ag 0.500 0.065 0.250
Ag 0.500 0.935 0.750
CELL_PARAMETERS angstrom
11.628 0.000 0.000
0.000 13.777 0.000
0.000 0.000 4.524
! Formation energy in eV per atom: -0.082
! Polymorph energy (0 for the lowest one) in eV/atom: 0.093

Record 5
! SrAg2, relaxed, DFT PBE; values from VASP
&SYSTEM
  ibrav = 0, nat = 12, ntyp = 2
/
ATOMIC_SPECIES
Sr 87.62 Sr.upf
Ag 107.87 Ag.upf
ATOMIC_POSITIONS crystal
Sr 0.110 0.000 0.307
Sr 0.390 0.500 0.693
Sr 0.610 0.500 0.307
Sr 0.890 0.000 0.693
Ag 0.096 0.500 0.697
Ag 0.222 0.000 0.868
Ag 0.278 0.500 0.132
Ag 0.404 0.000 0.303
Ag 0.596 0.000 0.697
Ag 0.722 0.500 0.868
Ag 0.778 0.000 0.132
Ag 0.904 0.500 0.303
CELL_PARAMETERS angstrom
11.415 0.000 0.000
0.000 4.780 0.000
-1.594 0.000 6.010
! Formation energy in eV per atom: -0.238

Record 6
! SrAg3, relaxed, DFT PBE; values from VASP
&SYSTEM
  ibrav = 0, nat = 4, ntyp = 2
/
ATOMIC_SPECIES
Sr 87.62 Sr.upf
Ag 107.87 Ag.upf
ATOMIC_POSITIONS crystal
Sr 0.000 0.000 0.000
Ag 0.000 0.000 0.500
Ag 0.333 0.667 0.298
Ag 0.333 0.667 0.702
CELL_PARAMETERS angstrom
4.373 0.000 0.000
-2.187 3.787 0.000
0.000 0.000 6.893
! Formation energy in eV per atom: 0.074

Going through the records in order, we get energy values of -2.540, -2.327, -2.768, -2.056, -2.700, -2.485 eV/atom.